YFeSiAu PBE relaxed; E_tot = -6.028 eV/atom; size of the total moment = 2.60 μB/cell; energy above the most stable polymorph in this dataset = 0.000 kcal/mol of atoms; space-group type = No. 216
1.0
0.0000 3.2767 3.2767
3.2767 0.0000 3.2767
3.2767 3.2767 0.0000
Au Fe Si Y
1 1 1 1
Direct
0.5000 0.5000 0.5000
0.7500 0.7500 0.7500
0.0000 0.0000 0.0000
0.2500 0.2500 0.2500

Ba2FeAgH6 PBE relaxed; E_tot = -3.803 eV/atom; size of the total moment = 0.00 μB/cell; space-group type = No. 225
1.0
0.0000 3.9741 3.9741
3.9741 0.0000 3.9741
3.9741 3.9741 0.0000
Ag Ba Fe H
1 2 1 6
Direct
0.0000 0.0000 0.0000
0.2500 0.2500 0.2500
0.7500 0.7500 0.7500
0.5000 0.5000 0.5000
0.7110 0.2890 0.2890
0.2890 0.7110 0.2890
0.7110 0.7110 0.2890
0.2890 0.2890 0.7110
0.7110 0.2890 0.7110
0.2890 0.7110 0.7110

KErHgO3 PBE relaxed; E_tot = -5.368 eV/atom; size of the total moment = 0.00 μB/cell; space-group type = No. 63
1.0
0.8596 4.2171 5.5108
-4.1591 -3.3909 -4.4827
-0.0802 -7.0427 5.4019
Er Hg K O
2 2 2 6
Direct
0.0000 0.0000 0.0000
0.0000 0.0000 0.5000
0.6142 0.3858 0.2500
0.3858 0.6142 0.7500
0.3240 0.6760 0.2500
0.6760 0.3240 0.7500
0.6084 0.3916 0.0205
0.9734 0.0266 0.2500
0.6084 0.3916 0.4795
0.3916 0.6084 0.5205
0.0266 0.9734 0.7500
0.3916 0.6084 0.9795